*one*
Computed, not measured: a geometry-optimized PbBrF2 structure at the PBE level of DFT.

a b c (Å): 4.7944 4.7944 15.8199
angles (deg): 90.00 90.00 90.00
With the nearest neighbours (Å) after each atom.
Space group I-42d (No. 122)
Asymmetric unit:
Pb 0.0000 0.0000 0.0000  4 F 2.45
Br 0.0000 0.0000 0.5000  4 F 2.80
F 0.1692 0.2500 0.1250  2 Pb 2.45

=====

*two*
Computed, not measured: a geometry-optimized PbBrF2 structure at the PBE level of DFT.

a b c (Å): 3.8877 3.8877 28.4335
angles (deg): 90.00 90.00 120.00
With the nearest neighbours (Å) after each atom.
Space group R-3m (No. 166, hexagonal axes)
Asymmetric unit:
Pb 0.0000 0.0000 0.0000  6 F 2.48
Br 0.0000 0.0000 0.5000  2 F 3.69, 6 Br 3.89
F 0.0000 0.0000 0.3701  3 Pb 2.48

=====

*three*
Computed, not measured: a geometry-optimized PbBrF2 structure at the PBE level of DFT.

a b c (Å): 6.6076 6.6076 6.6076
angles (deg): 90.00 90.00 90.00
With the nearest neighbours (Å) after each atom.
Space group Fm-3m (No. 225)
Asymmetric unit:
Pb 0.0000 0.0000 0.0000  8 F 2.86
Br 0.0000 0.0000 0.5000  8 F 2.86
F 0.2500 0.2500 0.2500  4 Pb 2.86, 4 Br 2.86

=====

*two* takes first place; second place is 148 meV/atom up.

=====

*one*
Computed, not measured: a geometry-optimized RbPbBrF2 structure at the PBE level of DFT.

a b c (Å): 4.8696 4.8696 6.1836
angles (deg): 90.00 90.00 90.00
With the nearest neighbours (Å) after each atom.
Space group P4/mmm (No. 123)
Asymmetric unit:
Rb 0.0000 0.0000 0.0000  4 Br 3.44
Pb 0.5000 0.5000 0.5000  4 F 2.43
Br 0.5000 0.5000 0.0000  2 Pb 3.09, 4 Rb 3.44
F 0.0000 0.5000 0.5000  2 Pb 2.43

=====

*two*
Computed, not measured: a geometry-optimized RbPbBrF2 structure at the PBE level of DFT.

a b c (Å): 4.6932 4.6932 9.5900
angles (deg): 90.00 90.00 90.00
With the nearest neighbours (Å) after each atom.
Space group P4/mmm (No. 123)
Asymmetric unit:
Rb 0.0000 0.0000 0.0000  4 Br 3.32
Pb 0.0000 0.0000 0.5000  4 F 2.35
Br 0.5000 0.5000 0.0000  4 Rb 3.32
F 0.0000 0.5000 0.5000  2 Pb 2.35

=====

*one* takes first place; second place is 188 meV/atom up.

=====

*one*
Computed, not measured: a geometry-optimized PdBrF2 structure at the PBE level of DFT.

a b c (Å): 3.2712 3.2712 28.3913
angles (deg): 90.00 90.00 120.00
With the nearest neighbours (Å) after each atom.
Space group R-3m (No. 166, hexagonal axes)
Asymmetric unit:
Pd 0.0000 0.0000 0.0000  6 F 2.21
Br 0.0000 0.0000 0.5000  6 Br 3.27, 2 F 3.59
F 0.0000 0.0000 0.3734  3 Pd 2.21

=====

*two*
Computed, not measured: a geometry-optimized PdBrF2 structure at the PBE level of DFT.

a b c (Å): 4.1039 4.8378 9.3509
angles (deg): 96.92 92.15 93.12
With the nearest neighbours (Å) after each atom.
Space group P1 (No. 1)
Asymmetric unit:
Pd 0.0000 0.0000 0.0000  4 F 2.03
Pd 0.5002 0.4998 0.0006  4 F 2.03
Br 0.7291 0.0075 0.5371  2 Br 2.52-2.53
Br 0.7665 0.4901 0.4617  2 Br 2.52-2.53
F 0.2372 0.2163 0.8578  2 Pd 2.03
F 0.2632 0.2834 0.1427  2 Pd 2.03
F 0.7364 0.7146 0.8578  2 Pd 2.03
F 0.7642 0.7849 0.1428  2 Pd 2.03

=====

*three*
Computed, not measured: a geometry-optimized PdBrF2 structure at the PBE level of DFT.

a b c (Å): 3.8596 3.8596 16.0460
angles (deg): 90.00 90.00 90.00
With the nearest neighbours (Å) after each atom.
Space group I-42d (No. 122)
Asymmetric unit:
Pd 0.0000 0.0000 0.0000  4 F 2.38
Br 0.0000 0.0000 0.5000  4 F 2.47, 4 Pd 2.73
F 0.2219 0.2500 0.1250  2 Pd 2.38, 2 Br 2.47, 2 F 2.58

=====

*two* takes first place; second place is 174 meV/atom up.

=====

*one*
Computed, not measured: a geometry-optimized RbPdBrF2 structure at the PBE level of DFT.

a b c (Å): 3.8841 14.1495 7.6367
angles (deg): 90.00 90.00 90.00
With the nearest neighbours (Å) after each atom.
Space group Cmcm (No. 63)
Asymmetric unit:
Rb 0.0000 0.2298 0.2500  6 F 2.80-2.85
Pd 0.0000 0.5000 0.0000  2 F 2.03
Br 0.0000 0.0166 0.7500  4 Pd 2.73
F 0.0000 0.3574 0.5304  1 Pd 2.03

=====

*two*
Computed, not measured: a geometry-optimized RbPdBrF2 structure at the PBE level of DFT.

a b c (Å): 4.5298 4.5298 5.0880
angles (deg): 90.00 90.00 90.00
With the nearest neighbours (Å) after each atom.
Space group P4/mmm (No. 123)
Asymmetric unit:
Rb 0.0000 0.0000 0.0000  4 Br 3.20, 8 F 3.41
Pd 0.5000 0.5000 0.5000  4 F 2.26
Br 0.5000 0.5000 0.0000  2 Pd 2.54
F 0.0000 0.5000 0.5000  2 Pd 2.26

=====

*one* takes first place; second place is 154 meV/atom up.